1.
First-principles (SCAN) data for MgAlVS4 at its PBEsol-relaxed geometry, as listed in Alexandria via LeMat-Bulk.

Cell lengths 6.987, 7.134, 10.437 Å; angles 90.00, 90.00, 90.00 degrees
Space group Imma (No. 74)
Unique sites:
Mg1 0.000 0.250 0.125 x4
Al1 0.000 0.000 0.500 x4
V1 0.250 0.250 0.750 x4
S1 0.000 0.017 0.732 x8
S2 0.230 0.250 0.517 x8

For the uncorrected formation energy, the calculation gives -903 kJ/mol of formula units. The calculation puts the density of states at the Fermi level at 1.1 states/eV/f.u.

=====

2.
First-principles (SCAN) data for KNbF6 at its PBEsol-relaxed geometry, as listed in Alexandria via LeMat-Bulk.

Cell lengths 5.268, 5.268, 9.730 Å; angles 90.00, 90.00, 90.00 degrees
Space group P4_2/mcm (No. 132)
Unique sites:
K1 0.000 0.000 0.250 x2
Nb1 0.500 0.500 0.000 x2
F1 0.241 0.241 0.000 x4
F2 0.316 0.316 0.361 x8

For the uncorrected formation energy, the calculation gives -2485 kJ/mol of formula units. The calculation puts the density of states at the Fermi level at 0.0 states/eV/f.u.

=====

3.
First-principles (SCAN) data for InIr2Cl at its PBEsol-relaxed geometry, as listed in Alexandria via LeMat-Bulk.

Cell lengths 2.889, 5.161, 8.687 Å; angles 90.00, 90.00, 90.00 degrees
Space group Cmmm (No. 65)
Unique sites:
In1 0.000 0.000 0.000 x2
Ir1 0.000 0.500 0.257 x4
Cl1 0.000 0.000 0.500 x2

For the uncorrected formation energy, the calculation gives 226 kJ/mol of formula units. The calculation puts the density of states at the Fermi level at 2.2 states/eV/f.u.

=====

4.
First-principles (SCAN) data for AsW2Cl at its PBEsol-relaxed geometry, as listed in Alexandria via LeMat-Bulk.

Cell lengths 6.161, 6.161, 6.161 Å; angles 90.00, 90.00, 90.00 degrees
Space group Fm-3m (No. 225)
Unique sites:
As1 0.000 0.000 0.000 x4
W1 0.250 0.250 0.250 x8
Cl1 0.000 0.000 0.500 x4

For the uncorrected formation energy, the calculation gives 358 kJ/mol of formula units. The calculation puts the density of states at the Fermi level at 3.2 states/eV/f.u.

=====

5.
First-principles (SCAN) data for Sc3AuO at its PBEsol-relaxed geometry, as listed in Alexandria via LeMat-Bulk.

Cell lengths 4.321, 4.321, 4.321 Å; angles 90.00, 90.00, 90.00 degrees
Space group Pm-3m (No. 221)
Unique sites:
Sc1 0.000 0.000 0.500 x3
Au1 0.500 0.500 0.500 x1
O1 0.000 0.000 0.000 x1

For the uncorrected formation energy, the calculation gives -907 kJ/mol of formula units. The calculation puts the density of states at the Fermi level at 4.1 states/eV/f.u.

=====

6.
First-principles (SCAN) data for P2IrRu at its PBEsol-relaxed geometry, as listed in Alexandria via LeMat-Bulk.

Cell lengths 2.817, 3.886, 4.999 Å; angles 90.00, 90.00, 90.00 degrees
Space group Pmmm (No. 47)
Unique sites:
P1 0.000 0.000 0.000 x1
P2 0.500 0.000 0.500 x1
Ir1 0.000 0.500 0.500 x1
Ru1 0.500 0.500 0.000 x1

The calculation puts the density of states at the Fermi level at 3.1 states/eV/f.u. The value obtained for the formation energy is 0.33 eV/atom.

=====

7.
First-principles (SCAN) data for IrRuPb2 at its PBEsol-relaxed geometry, as listed in Alexandria via LeMat-Bulk.

Cell lengths 10.389, 2.985, 5.122 Å; angles 90.00, 106.73, 90.00 degrees
Space group Cm (No. 8)
Unique sites:
Ir1 0.000 0.000 0.000 x2
Ru1 0.314 0.000 0.670 x2
Pb1 0.058 0.500 0.530 x2
Pb2 0.261 0.500 0.154 x2

The calculation puts the density of states at the Fermi level at 3.2 states/eV/f.u. The value obtained for the formation energy is 0.61 eV/atom.

=====

8.
First-principles (SCAN) data for KAgAs2Br at its PBEsol-relaxed geometry, as listed in Alexandria via LeMat-Bulk.

Cell lengths 6.100, 6.100, 5.675 Å; angles 90.00, 90.00, 90.00 degrees
Space group P4/mmm (No. 123)
Unique sites:
K1 0.000 0.000 0.000 x1
Ag1 0.500 0.500 0.500 x1
As1 0.000 0.500 0.000 x2
Br1 0.000 0.000 0.500 x1

For the uncorrected formation energy, the calculation gives 501 kJ/mol of formula units. The calculation puts the density of states at the Fermi level at 0.8 states/eV/f.u.

=====

9.
First-principles (SCAN) data for Li5Tl at its PBEsol-relaxed geometry, as listed in Alexandria via LeMat-Bulk.

Cell lengths 4.327, 12.270, 4.210 Å; angles 90.00, 90.00, 90.00 degrees
Space group Cmmm (No. 65)
Unique sites:
Li1 0.000 0.000 0.000 x2
Li2 0.000 0.165 0.500 x4
Li3 0.000 0.340 0.000 x4
Tl1 0.000 0.500 0.500 x2

The calculation puts the density of states at the Fermi level at 2.7 states/eV/f.u. The value obtained for the formation energy is -0.21 eV/atom.

=====

10.
First-principles (SCAN) data for Ti3NbW at its PBEsol-relaxed geometry, as listed in Alexandria via LeMat-Bulk.

Cell lengths 4.642, 4.642, 4.642 Å; angles 90.00, 90.00, 90.00 degrees
Space group Pm-3m (No. 221)
Unique sites:
Ti1 0.000 0.000 0.500 x3
Nb1 0.500 0.500 0.500 x1
W1 0.000 0.000 0.000 x1

The calculation puts the density of states at the Fermi level at 5.6 states/eV/f.u. The value obtained for the formation energy is 1.00 eV/atom.

=====

11.
First-principles (SCAN) data for ZnCd2Si at its PBEsol-relaxed geometry, as listed in Alexandria via LeMat-Bulk.

Cell lengths 11.350, 2.738, 5.123 Å; angles 90.00, 111.38, 90.00 degrees
Space group Cm (No. 8)
Unique sites:
Zn1 0.000 0.000 0.000 x2
Cd1 0.255 0.000 0.785 x2
Cd2 0.475 0.000 0.484 x2
Si1 0.212 0.500 0.249 x2

For the uncorrected formation energy, the calculation gives 118 kJ/mol of formula units. The calculation puts the density of states at the Fermi level at 1.0 states/eV/f.u.

=====

12.
First-principles (SCAN) data for SrCd2Ga2 at its PBEsol-relaxed geometry, as listed in Alexandria via LeMat-Bulk.

Cell lengths 4.470, 4.470, 11.298 Å; angles 90.00, 90.00, 90.00 degrees
Space group I4/mmm (No. 139)
Unique sites:
Sr1 0.000 0.000 0.000 x2
Cd1 0.000 0.500 0.250 x4
Ga1 0.000 0.000 0.391 x4

The calculation puts the density of states at the Fermi level at 1.8 states/eV/f.u. The value obtained for the formation energy is -0.44 eV/atom.

=====

13.
First-principles (SCAN) data for Ba3SrCa2Mo2O12 at its PBEsol-relaxed geometry, as listed in Alexandria via LeMat-Bulk.

Cell lengths 5.886, 5.886, 8.322 Å; angles 90.00, 90.00, 90.00 degrees
Space group P-4m2 (No. 115)
Unique sites:
Ba1 0.000 0.000 0.000 x1
Ba2 0.000 0.000 0.500 x1
Ba3 0.500 0.500 0.000 x1
Sr1 0.500 0.500 0.500 x1
Ca1 0.000 0.500 0.751 x2
Mo1 0.000 0.500 0.254 x2
O1 0.000 0.500 0.022 x2
O2 0.000 0.500 0.482 x2
O3 0.231 0.271 0.254 x8

For the uncorrected formation energy, the calculation gives -5639 kJ/mol of formula units. The calculation puts the density of states at the Fermi level at 0.0 states/eV/f.u.

=====

14.
First-principles (SCAN) data for RbPd3Pt at its PBEsol-relaxed geometry, as listed in Alexandria via LeMat-Bulk.

Cell lengths 4.790, 4.790, 4.790 Å; angles 90.00, 90.00, 90.00 degrees
Space group Pm-3m (No. 221)
Unique sites:
Rb1 0.000 0.000 0.000 x1
Pd1 0.000 0.000 0.500 x3
Pt1 0.500 0.500 0.500 x1

The calculation puts the density of states at the Fermi level at 4.0 states/eV/f.u. The value obtained for the formation energy is 1.99 eV/atom.

=====

15.
First-principles (SCAN) data for MgAl2Cd at its PBEsol-relaxed geometry, as listed in Alexandria via LeMat-Bulk.

Cell lengths 2.930, 5.161, 10.326 Å; angles 90.00, 90.00, 90.00 degrees
Space group Imm2 (No. 44)
Unique sites:
Mg1 0.000 0.000 0.000 x2
Al1 0.000 0.000 0.486 x2
Al2 0.000 0.500 0.755 x2
Cd1 0.000 0.500 0.236 x2

The calculation puts the density of states at the Fermi level at 1.4 states/eV/f.u. The value obtained for the formation energy is 0.12 eV/atom.

=====

16.
First-principles (SCAN) data for K5SnSb3 at its PBEsol-relaxed geometry, as listed in Alexandria via LeMat-Bulk.

Cell lengths 9.802, 8.615, 18.707 Å; angles 90.00, 121.54, 90.00 degrees
Space group P2_1/c (No. 14)
Unique sites:
K1 0.001 0.177 0.422 x4
K2 0.061 0.506 0.756 x4
K3 0.289 0.003 0.088 x4
K4 0.316 0.164 0.740 x4
K5 0.413 0.518 0.078 x4
Sn1 0.339 0.645 0.413 x4
Sb1 0.076 0.738 0.919 x4
Sb2 0.351 0.735 0.270 x4
Sb3 0.352 0.191 0.934 x4

For the uncorrected formation energy, the calculation gives -440 kJ/mol of formula units.

=====

17.
First-principles (SCAN) data for GaB3F at its PBEsol-relaxed geometry, as listed in Alexandria via LeMat-Bulk.

Cell lengths 3.793, 3.793, 3.793 Å; angles 90.00, 90.00, 90.00 degrees
Space group Pm-3m (No. 221)
Unique sites:
Ga1 0.000 0.000 0.000 x1
B1 0.000 0.500 0.500 x3
F1 0.500 0.500 0.500 x1

For the uncorrected formation energy, the calculation gives 905 kJ/mol of formula units. The calculation puts the density of states at the Fermi level at 0.8 states/eV/f.u.

=====

18.
First-principles (SCAN) data for KSr2W at its PBEsol-relaxed geometry, as listed in Alexandria via LeMat-Bulk.

Cell lengths 3.4927, 3.4927, 38.2303 Å; angles 90.00, 90.00, 120.00 degrees
Space group R-3m (No. 166, hexagonal axes)
Unique sites:
K1 0.0000 0.0000 0.0000 x3
Sr1 0.0000 0.0000 0.2309 x6
W1 0.0000 0.0000 0.5000 x3

The calculation puts the density of states at the Fermi level at 3.3 states/eV/f.u. The value obtained for the formation energy is 1.25 eV/atom.

=====

19.
First-principles (SCAN) data for SiTePt2 at its PBEsol-relaxed geometry, as listed in Alexandria via LeMat-Bulk.

Cell lengths 7.540, 3.682, 5.506 Å; angles 90.00, 94.84, 90.00 degrees
Space group Cm (No. 8)
Unique sites:
Si1 0.000 0.000 0.000 x2
Te1 0.370 0.500 0.460 x2
Pt1 0.088 0.500 0.740 x2
Pt2 0.307 0.000 0.038 x2

For the uncorrected formation energy, the calculation gives -158 kJ/mol of formula units. The calculation puts the density of states at the Fermi level at 1.5 states/eV/f.u.

=====

20.
First-principles (SCAN) data for LiCaSb2 at its PBEsol-relaxed geometry, as listed in Alexandria via LeMat-Bulk.

Cell lengths 3.989, 4.667, 10.688 Å; angles 90.00, 90.00, 90.00 degrees
Space group Imm2 (No. 44)
Unique sites:
Li1 0.000 0.000 0.000 x2
Ca1 0.000 0.500 0.239 x2
Sb1 0.000 0.000 0.477 x2
Sb2 0.000 0.500 0.755 x2

For the uncorrected formation energy, the calculation gives -221 kJ/mol of formula units. The calculation puts the density of states at the Fermi level at 1.6 states/eV/f.u.

=====

Quick rundown of final energy, same order as above: -11.16, -11.06, -45.31, -40.96, -25.50, -31.35, -63.77, -18.87, -14.26, -29.18, -20.78, -23.60, -18.16, -35.86, -12.61, -21.55, -6.56, -29.39, -47.32, -22.22 eV/atom